# 1
Compound: CePmAgIr
Source: the Alexandria database
Functional: PBE-GGA
Structure: relaxed

abc: 5.0922 5.0922 5.0922
angles: 60.00 60.00 60.00
With the nearest neighbours (Å) after each atom.
Fractional positions:
Ir 0.7500 0.7500 0.7500  4 Pm 3.12, 4 Ce 3.12
Ag 0.2500 0.2500 0.2500  4 Ce 3.12, 4 Pm 3.12
Ce 0.5000 0.5000 0.5000  4 Ir 3.12, 4 Ag 3.12
Pm 0.0000 0.0000 0.0000  4 Ag 3.12, 4 Ir 3.12

D(E_F) ... 1.87 states/eV/atom
DFT total energy ... -6.005 eV/atom
Energy of formation ... -406 meV per atom

=====

# 2
Compound: La2TiHgN
Source: the Alexandria database
Functional: PBE-GGA
Structure: relaxed

abc: 5.3603 5.3603 4.0509
angles: 90.00 90.00 90.00
With the nearest neighbours (Å) after each atom.
Fractional positions:
N 0.0000 0.0000 0.0000  2 Ti 2.03
Ti 0.0000 0.0000 0.5000  2 N 2.03
Hg 0.5000 0.5000 0.5000  8 La 3.36
La 0.0000 0.5000 0.0000  2 N 2.68
La 0.5000 0.0000 0.0000  2 N 2.68

D(E_F) ... 0.73 states/eV/atom
DFT total energy ... -6.055 eV/atom
Formation energy (no corrections) ... -3.897 eV per formula unit

=====

# 3
Compound: Ac2DyAs4Rh3
Source: the Alexandria database
Functional: PBE-GGA
Structure: relaxed

abc: 4.4309 4.4309 11.0125
angles: 90.00 90.00 90.00
With the nearest neighbours (Å) after each atom.
Fractional positions:
Ac 0.5000 0.0000 0.2247  8 As 3.32-3.38, 5 Rh 3.39-3.65
Ac 0.0000 0.5000 0.7753  8 As 3.32-3.38, 5 Rh 3.39-3.65
Dy 0.5000 0.5000 0.5000  4 As 2.82, 4 Rh 3.13
As 0.5000 0.5000 0.0000  4 Rh 2.51
As 0.0000 0.0000 0.0000  4 Rh 2.51
As 0.5000 0.0000 0.6590  3 Rh 2.58-2.82, 2 Dy 2.82
As 0.0000 0.5000 0.3410  3 Rh 2.58-2.82, 2 Dy 2.82
Rh 0.0000 0.0000 0.5000  4 As 2.82, 4 Dy 3.13
Rh 0.5000 0.0000 0.8930  5 As 2.51-2.58
Rh 0.0000 0.5000 0.1070  5 As 2.51-2.58

D(E_F) ... 0.44 states/eV/atom
DFT total energy ... -6.348 eV/atom
Energy of formation ... -1001 meV per atom

=====

# 4
Compound: PbBrCl4
Source: the Alexandria database
Functional: PBE-GGA
Structure: relaxed

abc: 5.9383 5.9383 5.9383
angles: 60.00 60.00 60.00
With the nearest neighbours (Å) after each atom.
Fractional positions:
Pb 0.7500 0.7500 0.7500  12 Cl 3.48, 4 Br 3.64
Br 0.0000 0.0000 0.0000  12 Cl 3.48, 4 Pb 3.64
Cl 0.8737 0.3754 0.3754  6 Cl 2.96-2.98
Cl 0.3754 0.3754 0.8737  6 Cl 2.96-2.98
Cl 0.3754 0.8737 0.3754  6 Cl 2.96-2.98
Cl 0.3754 0.3754 0.3754  6 Cl 2.96-2.98

D(E_F) ... 1.46 states/eV/atom
DFT total energy ... -2.010 eV/atom
Formation energy (no corrections) ... 0.705 eV per formula unit
ΔE to the lowest computed polymorph ... 0.6113 eV/atom

=====

# 5
Compound: PmInRu
Source: the Alexandria database
Functional: PBE-GGA
Structure: relaxed

abc: 4.1165 6.1557 6.6589
angles: 117.53 108.00 90.00
With the nearest neighbours (Å) after each atom.
Fractional positions:
Pm 0.2863 0.2863 0.5726  2 Ru 2.82
Pm 0.7137 0.7137 0.4274  2 Ru 2.82
In 0.0000 0.2512 0.0000  4 Ru 2.86, 2 In 3.06-3.09
In 0.0000 0.7488 0.0000  4 Ru 2.86, 2 In 3.06-3.09
Ru 0.6127 0.1127 0.2254  1 Ru 2.49
Ru 0.3873 0.8873 0.7746  1 Ru 2.49

D(E_F) ... 0.93 states/eV/atom
DFT total energy ... -5.801 eV/atom
Energy of formation ... -213 meV per atom
ΔE to the lowest computed polymorph ... 0.0790 eV/atom

=====

# 6
Compound: Ac2SmPaP4
Source: the Alexandria database
Functional: PBE-GGA
Structure: relaxed

abc: 4.2113 7.2635 7.3830
angles: 109.19 90.00 90.00
With the nearest neighbours (Å) after each atom.
Fractional positions:
Ac 0.5000 0.0000 0.5000  6 P 3.14-3.15
Ac 0.0000 0.5000 0.5000  6 P 3.07
Sm 0.0000 0.0000 0.0000  6 P 2.91-2.92
Pa 0.5000 0.5000 0.0000  6 P 2.82-2.85
P 0.5000 0.2518 0.2240  1 Pa 2.82, 2 Sm 2.92, 3 Ac 3.07-3.15
P 0.5000 0.7482 0.7760  1 Pa 2.82, 2 Sm 2.92, 3 Ac 3.07-3.15
P 0.0000 0.2680 0.7807  2 Pa 2.85, 1 Sm 2.91, 3 Ac 3.07-3.14
P 0.0000 0.7320 0.2193  2 Pa 2.85, 1 Sm 2.91, 3 Ac 3.07-3.14

D(E_F) ... 0.61 states/eV/atom
DFT total energy ... -6.936 eV/atom
Energy of formation ... -1427 meV per atom

=====

- Which of these has the highest DFT total energy?
  PbBrCl4

=====

Copy entry 1 word for word.
Compound: CePmAgIr
Source: the Alexandria database
Functional: PBE-GGA
Structure: relaxed

abc: 5.0922 5.0922 5.0922
angles: 60.00 60.00 60.00
With the nearest neighbours (Å) after each atom.
Fractional positions:
Ir 0.7500 0.7500 0.7500  4 Pm 3.12, 4 Ce 3.12
Ag 0.2500 0.2500 0.2500  4 Ce 3.12, 4 Pm 3.12
Ce 0.5000 0.5000 0.5000  4 Ir 3.12, 4 Ag 3.12
Pm 0.0000 0.0000 0.0000  4 Ag 3.12, 4 Ir 3.12

D(E_F) ... 1.87 states/eV/atom
DFT total energy ... -6.005 eV/atom
Energy of formation ... -406 meV per atom

=====

- Look up the DFT total energy of the fifth one.
  -5.801 eV/atom

=====

- Which value of DFT total energy does entry 4 give?
  -2.010 eV/atom